NiSO4 (PBE+U, optimized geometry); VASP energy = -5.74 eV per atom; size of the total moment = 0.33 μB per atom
1.0
-3.581 3.103 -0.367
-0.836 -3.525 3.075
2.568 3.525 4.738
Ni O S
2 8 2
Cartesian
0.000 0.000 0.000
1.284 1.762 2.369
-1.219 2.083 5.675
-0.629 1.019 1.771
-1.761 3.000 2.584
-0.087 0.102 4.862
-2.743 1.652 0.773
0.895 1.450 6.673
-2.710 0.820 3.047
0.862 2.282 4.399
0.131 1.435 5.426
-1.979 1.667 2.020